1.
CuPIr2, single point on PBEsol structure, DFT SCAN; ΔE_f = 12.2 meV/atom
1.0
2.837 0.000 0.000
0.000 2.837 0.000
0.000 0.000 6.394
Cu Ir P
1 2 1
direct
0.500 0.500 0.500
0.000 0.000 0.773
0.000 0.000 0.227
0.500 0.500 0.000

2.
Cu2PIr, single point on PBEsol structure, DFT SCAN; ΔE_f = 123.3 meV/atom
1.0
-3.670 1.419 1.203
-3.154 -2.599 0.478
-1.403 -0.861 3.771
Cu Ir P
2 1 1
direct
0.000 0.000 0.000
0.750 0.750 0.750
0.500 0.500 0.500
0.250 0.250 0.250

3.
CuPIr2, single point on PBEsol structure, DFT SCAN; ΔE_f = 325.9 meV/atom
1.0
-0.061 2.610 -0.581
-1.699 -1.693 -1.275
-5.855 1.235 6.162
Cu Ir P
1 2 1
direct
0.500 0.000 0.739
0.000 0.000 0.993
0.500 0.000 0.267
0.000 0.000 0.500

4.
Cu2PIr, single point on PBEsol structure, DFT SCAN; ΔE_f = 163.1 meV/atom
1.0
-3.099 -0.835 -0.421
0.908 -3.034 -0.670
-0.329 -1.126 4.656
Cu Ir P
2 1 1
direct
0.000 0.000 0.742
0.000 0.000 0.258
0.500 0.500 0.000
0.500 0.500 0.500

5.
Cu2PIr, single point on PBEsol structure, DFT SCAN; ΔE_f = 174.9 meV/atom
1.0
-1.758 2.014 0.507
-1.822 0.723 -1.887
-6.299 -4.287 2.478
Cu Ir P
2 1 1
direct
0.256 0.256 0.233
0.744 0.744 0.767
0.500 0.500 0.500
0.000 0.000 0.000

6.
CuP2IrS, single point on PBEsol structure, DFT SCAN; raw formation energy = 0.901 eV per atom
1.0
4.404 0.000 0.000
0.000 4.404 0.000
0.000 0.000 5.123
P S Ir Cu
2 1 1 1
direct
0.000 0.500 0.000
0.500 0.000 0.000
0.000 0.000 0.500
0.000 0.000 0.000
0.500 0.500 0.500

no.,volume (Å³/cell)
1,51
2,49
3,54
4,50
5,50
6,99